Entry from Alexandria via LeMat-Bulk: an optimized crystal structure of CsRb2SrCd (PBE).

Its formation energy from the elements is 82 kJ/mol of formula units. For the total energy, the calculation gives -4.53 eV per cell.

It has space group P4/mmm (No. 123), with a = 7.214 Å, b = 7.214 Å, c = 7.376 Å, α = 90.00°, β = 90.00° and γ = 90.00°. The asymmetric unit holds Cs at (0.000, 0.000, 0.000), Rb at (0.000, 0.500, 0.500), Sr at (0.500, 0.500, 0.000) and Cd at (0.000, 0.000, 0.500).



Entry from Alexandria via LeMat-Bulk: an optimized crystal structure of Pu2Ga4Ni3Pd (PBE).

Its formation energy from the elements is -416 kJ/mol of formula units. For the total energy, the calculation gives -67.62 eV per cell.

It has space group P-4m2 (No. 115), with a = 4.015 Å, b = 4.015 Å, c = 10.605 Å, α = 90.00°, β = 90.00° and γ = 90.00°. The asymmetric unit holds Pu at (0.000, 0.500, 0.239), Ga at (0.000, 0.000, 0.000), Ga at (0.000, 0.500, 0.639), Ga at (0.500, 0.500, 0.000), Ni at (0.000, 0.500, 0.865), Ni at (0.500, 0.500, 0.500) and Pd at (0.000, 0.000, 0.500).



Entry from Alexandria via LeMat-Bulk: an optimized crystal structure of Y3InO (PBE).

The uncorrected formation energy comes out at -1366 meV/atom. For the total energy, the calculation gives -135.68 eV per cell.

It has space group I4/mmm (No. 139), with a = 4.627 Å, b = 4.627 Å, c = 22.039 Å, α = 90.00°, β = 90.00° and γ = 90.00°. The asymmetric unit holds Y at (0.000, 0.000, 0.124), Y at (0.000, 0.500, 0.000), Y at (0.000, 0.500, 0.250), In at (0.000, 0.000, 0.385) and O at (0.000, 0.000, 0.225).



Entry from Alexandria via LeMat-Bulk: an optimized crystal structure of LaMoN3 (PBE).

The uncorrected formation energy comes out at -686 meV/atom. For the total energy, the calculation gives -88.33 eV per cell.

It has space group P1 (No. 1), with a = 3.929 Å, b = 6.038 Å, c = 6.642 Å, α = 109.42°, β = 100.28° and γ = 90.32°. The asymmetric unit holds La at (0.000, 0.000, 0.000), La at (0.141, 0.598, 0.378), Mo at (0.480, 0.512, 0.933), Mo at (0.653, 0.075, 0.436), N at (0.002, 0.388, 0.939), N at (0.158, 0.052, 0.479), N at (0.420, 0.708, 0.777), N at (0.586, 0.251, 0.251), N at (0.594, 0.747, 0.231) and N at (0.734, 0.229, 0.782).



Entry from Alexandria via LeMat-Bulk: an optimized crystal structure of Ca2Si2Au (PBE).

The uncorrected formation energy comes out at -193 meV/atom. For the total energy, the calculation gives -38.18 eV per cell.

It has space group I4/mmm (No. 139), with a = 5.878 Å, b = 5.878 Å, c = 7.237 Å, α = 90.00°, β = 90.00° and γ = 90.00°. The asymmetric unit holds Ca at (0.000, 0.500, 0.250), Si at (0.000, 0.000, 0.160) and Au at (0.000, 0.000, 0.500).



Entry from Alexandria via LeMat-Bulk: an optimized crystal structure of Ti2CuRe (PBE).

Its formation energy from the elements is 158 kJ/mol of formula units. For the total energy, the calculation gives -61.39 eV per cell.

It has space group Immm (No. 71), with a = 2.661 Å, b = 4.670 Å, c = 10.015 Å, α = 90.00°, β = 90.00° and γ = 90.00°. The asymmetric unit holds Ti at (0.000, 0.000, 0.243), Cu at (0.000, 0.000, 0.000) and Re at (0.000, 0.000, 0.500).